A relaxed LiNiBiF6 crystal. Source: Alexandria, functional PBE+U.

Output
* electronic total energy: -83.2 eV/cell
* total magnetic moment: 2.0 μB/f.u.

abc: 4.9932 4.9932 9.8487
angles: 90.00 90.00 90.00
Atoms (fractional coordinates):
Li (0.0000, 0.0000, 0.0000)
Li (0.5000, 0.5000, 0.5000)
Ni (0.0000, 0.0000, 0.3303)
Ni (0.5000, 0.5000, 0.8303)
Bi (0.0000, 0.0000, 0.6652)
Bi (0.5000, 0.5000, 0.1652)
F (0.1782, 0.1782, 0.1677)
F (0.2003, 0.2003, 0.4814)
F (0.2116, 0.2116, 0.8398)
F (0.2884, 0.7116, 0.3398)
F (0.2997, 0.7003, 0.9814)
F (0.3218, 0.6782, 0.6677)
F (0.6782, 0.3218, 0.6677)
F (0.7003, 0.2997, 0.9814)
F (0.7116, 0.2884, 0.3398)
F (0.7884, 0.7884, 0.8398)
F (0.7997, 0.7997, 0.4814)
F (0.8218, 0.8218, 0.1677)